Below is a relaxed structure of Li4Mn3Cr3Sb2O16, with properties calculated at the PBE with a Hubbard U level.

extended XYZ file:
```
28
Lattice="-5.6868 -1.0140 1.6248 -2.8263 -5.0060 -1.7207 2.8822 -4.6894 8.0599" Properties=species:S:1:pos:R:3 pbc="T T T"
Li -5.3717 -4.4227 0.6842
Li -8.4773 -6.0703 -0.0052
Li 1.4297 -2.4298 4.1217
Li -1.1308 -4.8175 4.7815
Mn -4.8085 -8.7061 6.2768
Mn -2.0065 -4.8369 1.4528
Mn -3.4175 -2.8678 3.1030
Cr -2.0166 -8.1901 5.4571
Cr -3.4212 -6.2299 7.0998
Cr -0.6294 -2.3640 2.2826
Sb -4.2114 -6.4437 4.0878
Sb -2.7588 -2.0395 0.0747
O -3.1275 -6.4628 2.3953
O -2.5162 -6.2177 5.2677
O -3.1550 -8.1941 7.0798
O -6.4718 -9.2693 5.5268
O -7.9309 -6.9495 1.5111
O -4.5597 -4.4641 4.0703
O -3.7544 -8.4142 4.4257
O -5.0576 -6.5956 5.9498
O 1.1967 -5.2167 7.2480
O -5.9690 -6.9705 3.2137
O -1.0585 -3.0923 0.4469
O -2.3258 -1.3239 1.9290
O -1.7456 -3.8217 3.0676
O -0.2346 -7.7769 6.4528
O -3.6204 -3.5905 1.1888
O -1.6581 -5.7904 8.1177
```

Space-group type: Cm, No. 8
Calculated total energy: -191.096 eV/cell
Total magnetic moment: 21.00 μB per formula unit